Entry from Alexandria: a geometry-optimized Ba4H structure (GGA-PBE). Values from VASP.

```
&SYSTEM
  ibrav = 0, nat = 10, ntyp = 2
/
ATOMIC_SPECIES
Ba 137.33 Ba.upf
H 1.01 H.upf
ATOMIC_POSITIONS crystal
Ba 0.100 0.100 0.863
Ba 0.754 0.754 0.497
Ba 0.779 0.426 0.823
Ba 0.574 0.221 0.177
Ba 0.900 0.900 0.137
Ba 0.221 0.574 0.177
Ba 0.426 0.779 0.823
Ba 0.246 0.246 0.503
H 0.173 0.827 0.000
H 0.827 0.173 0.000
CELL_PARAMETERS angstrom
-1.223 6.946 2.162
0.326 -4.758 5.628
10.471 0.872 -1.734
```

Properties
DFT total energy, eV/f.u.: -10.95
DOS(E_F), states/eV/f.u.: 6.752
Magnetization, μB per atom: 0.00
Symmetry: C2/m, No. 12

---

Entry from Alexandria: a geometry-optimized Zn2MoPb structure (GGA-PBE). Values from VASP.

```
&SYSTEM
  ibrav = 0, nat = 4, ntyp = 3
/
ATOMIC_SPECIES
Pb 207.20 Pb.upf
Zn 65.41 Zn.upf
Mo 95.94 Mo.upf
ATOMIC_POSITIONS crystal
Pb 0.752 0.752 0.752
Zn 0.250 0.250 0.250
Zn 0.990 0.990 0.990
Mo 0.508 0.508 0.508
CELL_PARAMETERS angstrom
9.296 -0.003 -0.002
8.781 3.050 -0.002
8.781 1.480 2.667
```

Properties
DOS(E_F), states/eV/f.u.: 4.189
Magnetization, μB per atom: 0.03
Formation energy from the elements, eV/atom: 0.478
Symmetry: R3m, No. 160

---

Repeat the first record exactly.
Entry from Alexandria: a geometry-optimized Ba4H structure (GGA-PBE). Values from VASP.

```
&SYSTEM
  ibrav = 0, nat = 10, ntyp = 2
/
ATOMIC_SPECIES
Ba 137.33 Ba.upf
H 1.01 H.upf
ATOMIC_POSITIONS crystal
Ba 0.100 0.100 0.863
Ba 0.754 0.754 0.497
Ba 0.779 0.426 0.823
Ba 0.574 0.221 0.177
Ba 0.900 0.900 0.137
Ba 0.221 0.574 0.177
Ba 0.426 0.779 0.823
Ba 0.246 0.246 0.503
H 0.173 0.827 0.000
H 0.827 0.173 0.000
CELL_PARAMETERS angstrom
-1.223 6.946 2.162
0.326 -4.758 5.628
10.471 0.872 -1.734
```

Properties
DFT total energy, eV/f.u.: -10.95
DOS(E_F), states/eV/f.u.: 6.752
Magnetization, μB per atom: 0.00
Symmetry: C2/m, No. 12